PBE-GGA MgCr2Os, optimized geometry; space-group type = C2/m; energy relative to the elements = 376 meV/atom
1.0
4.9905 -0.0052 -0.0068
-2.3396 4.4081 -0.0068
0.4090 0.6792 2.4618
Cr Mg Os
2 1 1
direct
0.0000 0.0000 0.0000
0.5000 0.5000 0.0000
0.5000 0.0000 0.5000
0.0000 0.5000 0.5000